No. 1
! MgTlGa2, relaxed, DFT GGA-PBE; values from VASP
&SYSTEM
  ibrav = 0, nat = 4, ntyp = 3
/
ATOMIC_SPECIES
Mg 24.30 Mg.upf
Tl 204.38 Tl.upf
Ga 69.72 Ga.upf
ATOMIC_POSITIONS crystal
Mg 0.0000 0.0000 0.0000
Tl 0.0000 0.0000 0.5000
Ga 0.5000 0.5000 0.2199
Ga 0.5000 0.5000 0.7801
CELL_PARAMETERS angstrom
3.5376 0.0000 0.0000
0.0000 3.5376 0.0000
0.0000 0.0000 7.2125
! - calculated total energy (eV for the cell shown) = -9.978
! - formation energy from the elements (meV per atom) = 9
! - total moment (μB/cell) = 0.000
! - energy above the lowest structure with this stoichiometry (meV per atom) = 0



No. 2
! Mg15Tl4Ga, relaxed, DFT GGA-PBE; values from VASP
&SYSTEM
  ibrav = 0, nat = 20, ntyp = 3
/
ATOMIC_SPECIES
Mg 24.30 Mg.upf
Tl 204.38 Tl.upf
Ga 69.72 Ga.upf
ATOMIC_POSITIONS crystal
Mg 0.0000 0.0000 0.0000
Mg 0.0000 0.0000 0.1946
Mg 0.0000 0.0000 0.3984
Mg 0.0000 0.0000 0.6016
Mg 0.0000 0.0000 0.8054
Mg 0.0000 0.5000 0.0926
Mg 0.0000 0.5000 0.2967
Mg 0.0000 0.5000 0.5000
Mg 0.0000 0.5000 0.7033
Mg 0.0000 0.5000 0.9074
Mg 0.5000 0.0000 0.0926
Mg 0.5000 0.0000 0.2967
Mg 0.5000 0.0000 0.5000
Mg 0.5000 0.0000 0.7033
Mg 0.5000 0.0000 0.9074
Tl 0.5000 0.5000 0.1954
Tl 0.5000 0.5000 0.3983
Tl 0.5000 0.5000 0.6017
Tl 0.5000 0.5000 0.8046
Ga 0.5000 0.5000 0.0000
CELL_PARAMETERS angstrom
4.5487 0.0000 0.0000
0.0000 4.5487 0.0000
0.0000 0.0000 21.8529
! - calculated total energy (eV for the cell shown) = -37.218
! - formation energy from the elements (meV per atom) = -40
! - total moment (μB/cell) = 0.000



No. 3
! MgTlGa2, relaxed, DFT GGA-PBE; values from VASP
&SYSTEM
  ibrav = 0, nat = 4, ntyp = 3
/
ATOMIC_SPECIES
Mg 24.30 Mg.upf
Tl 204.38 Tl.upf
Ga 69.72 Ga.upf
ATOMIC_POSITIONS crystal
Mg 0.0000 0.0000 0.0000
Tl 0.5000 0.5000 0.5000
Ga 0.2500 0.2500 0.2500
Ga 0.7500 0.7500 0.7500
CELL_PARAMETERS angstrom
0.0000 3.5740 3.5740
3.5740 0.0000 3.5740
3.5740 3.5740 0.0000
! - calculated total energy (eV for the cell shown) = -9.790
! - formation energy from the elements (meV per atom) = 56
! - total moment (μB/cell) = 0.000
! - energy above the lowest structure with this stoichiometry (meV per atom) = 47



No. 4
! Mg3TlGa, relaxed, DFT GGA-PBE; values from VASP
&SYSTEM
  ibrav = 0, nat = 10, ntyp = 3
/
ATOMIC_SPECIES
Mg 24.30 Mg.upf
Tl 204.38 Tl.upf
Ga 69.72 Ga.upf
ATOMIC_POSITIONS crystal
Mg 0.0000 0.0000 0.0000
Mg 0.0000 0.5000 0.0000
Mg 0.1534 0.2500 0.3060
Mg 0.3958 0.2500 0.7863
Mg 0.6042 0.7500 0.2137
Mg 0.8466 0.7500 0.6940
Tl 0.2284 0.7500 0.4600
Tl 0.7716 0.2500 0.5400
Ga 0.4440 0.7500 0.8892
Ga 0.5560 0.2500 0.1108
CELL_PARAMETERS angstrom
4.3372 0.0000 0.0000
0.0000 5.7266 0.0000
-2.1610 0.0000 9.3718
! - calculated total energy (eV for the cell shown) = -20.721
! - formation energy from the elements (meV per atom) = -37
! - total moment (μB/cell) = 0.000
! - energy above the lowest structure with this stoichiometry (meV per atom) = 0



No. 5
! Mg2TlGa, relaxed, DFT GGA-PBE; values from VASP
&SYSTEM
  ibrav = 0, nat = 8, ntyp = 3
/
ATOMIC_SPECIES
Mg 24.30 Mg.upf
Tl 204.38 Tl.upf
Ga 69.72 Ga.upf
ATOMIC_POSITIONS crystal
Mg 0.1117 0.6250 0.9867
Mg 0.3750 0.3617 0.4867
Mg 0.6383 0.1250 0.0133
Mg 0.8750 0.8883 0.5133
Tl 0.2500 0.7500 0.5000
Tl 0.5000 0.5000 0.0000
Ga 0.0000 0.0000 0.0000
Ga 0.7500 0.2500 0.5000
CELL_PARAMETERS angstrom
-2.2285 2.2285 9.9027
2.2285 -2.2285 9.9027
2.2285 2.2285 -9.9027
! - calculated total energy (eV for the cell shown) = -16.340
! - formation energy from the elements (meV per atom) = 103
! - total moment (μB/cell) = 0.000
! - energy above the lowest structure with this stoichiometry (meV per atom) = 175



No. 6
! MgTlGa4, relaxed, DFT GGA-PBE; values from VASP
&SYSTEM
  ibrav = 0, nat = 6, ntyp = 3
/
ATOMIC_SPECIES
Mg 24.30 Mg.upf
Tl 204.38 Tl.upf
Ga 69.72 Ga.upf
ATOMIC_POSITIONS crystal
Mg 0.0000 0.0000 0.0000
Tl 0.2500 0.2500 0.2500
Ga 0.1220 0.6260 0.6260
Ga 0.6260 0.1220 0.6260
Ga 0.6260 0.6260 0.1220
Ga 0.6260 0.6260 0.6260
CELL_PARAMETERS angstrom
0.0000 4.0083 4.0083
4.0083 0.0000 4.0083
4.0083 4.0083 0.0000
! - calculated total energy (eV for the cell shown) = -15.951
! - formation energy from the elements (meV per atom) = 20
! - total moment (μB/cell) = 0.000



No. 7
! Mg2Tl2Ga, relaxed, DFT GGA-PBE; values from VASP
&SYSTEM
  ibrav = 0, nat = 5, ntyp = 3
/
ATOMIC_SPECIES
Mg 24.30 Mg.upf
Tl 204.38 Tl.upf
Ga 69.72 Ga.upf
ATOMIC_POSITIONS crystal
Mg 0.0965 0.0965 0.0000
Mg 0.9035 0.9035 0.0000
Tl 0.2500 0.7500 0.5000
Tl 0.7500 0.2500 0.5000
Ga 0.5000 0.5000 0.0000
CELL_PARAMETERS angstrom
-2.1732 2.1732 7.2588
2.1732 -2.1732 7.2588
2.1732 2.1732 -7.2588
! - calculated total energy (eV for the cell shown) = -9.888
! - formation energy from the elements (meV per atom) = 212
! - total moment (μB/cell) = 0.000
! - energy above the lowest structure with this stoichiometry (meV per atom) = 177



No. 8
! Mg3Tl2Ga, relaxed, DFT GGA-PBE; values from VASP
&SYSTEM
  ibrav = 0, nat = 6, ntyp = 3
/
ATOMIC_SPECIES
Mg 24.30 Mg.upf
Tl 204.38 Tl.upf
Ga 69.72 Ga.upf
ATOMIC_POSITIONS crystal
Mg 0.0000 0.0000 0.0000
Mg 0.0000 0.0000 0.3559
Mg 0.0000 0.0000 0.6441
Tl 0.5000 0.5000 0.1739
Tl 0.5000 0.5000 0.8261
Ga 0.5000 0.5000 0.5000
CELL_PARAMETERS angstrom
3.4497 0.0000 0.0000
0.0000 3.4497 0.0000
0.0000 0.0000 11.6785
! - calculated total energy (eV for the cell shown) = -12.918
! - formation energy from the elements (meV per atom) = -62
! - total moment (μB/cell) = 0.000
! - energy above the lowest structure with this stoichiometry (meV per atom) = 0



No. 9
! MgTl2Ga2, relaxed, DFT GGA-PBE; values from VASP
&SYSTEM
  ibrav = 0, nat = 10, ntyp = 3
/
ATOMIC_SPECIES
Mg 24.30 Mg.upf
Tl 204.38 Tl.upf
Ga 69.72 Ga.upf
ATOMIC_POSITIONS crystal
Mg 0.0000 0.0000 0.0000
Mg 0.5000 0.5000 0.0000
Tl 0.1778 0.3222 0.5000
Tl 0.3222 0.8222 0.5000
Tl 0.6778 0.1778 0.5000
Tl 0.8222 0.6778 0.5000
Ga 0.1280 0.6280 0.0000
Ga 0.3720 0.1280 0.0000
Ga 0.6280 0.8720 0.0000
Ga 0.8720 0.3720 0.0000
CELL_PARAMETERS angstrom
7.3823 0.0000 0.0000
0.0000 7.3823 0.0000
0.0000 0.0000 4.5465
! - calculated total energy (eV for the cell shown) = -24.228
! - formation energy from the elements (meV per atom) = 53
! - total moment (μB/cell) = 0.000
! - energy above the lowest structure with this stoichiometry (meV per atom) = 0



No. 10
! Mg14TlGa, relaxed, DFT GGA-PBE; values from VASP
&SYSTEM
  ibrav = 0, nat = 16, ntyp = 3
/
ATOMIC_SPECIES
Mg 24.30 Mg.upf
Tl 204.38 Tl.upf
Ga 69.72 Ga.upf
ATOMIC_POSITIONS crystal
Mg 0.0000 0.0000 0.0000
Mg 0.0000 0.5000 0.0000
Mg 0.0000 0.5000 0.5000
Mg 0.2464 0.2464 0.2518
Mg 0.2464 0.2464 0.7482
Mg 0.2464 0.7536 0.2518
Mg 0.2464 0.7536 0.7482
Mg 0.5000 0.0000 0.0000
Mg 0.5000 0.0000 0.5000
Mg 0.5000 0.5000 0.0000
Mg 0.7536 0.2464 0.2518
Mg 0.7536 0.2464 0.7482
Mg 0.7536 0.7536 0.2518
Mg 0.7536 0.7536 0.7482
Tl 0.5000 0.5000 0.5000
Ga 0.0000 0.0000 0.5000
CELL_PARAMETERS angstrom
6.4649 0.0000 0.0000
0.0000 6.4649 0.0000
0.0000 0.0000 8.6337
! - calculated total energy (eV for the cell shown) = -27.960
! - formation energy from the elements (meV per atom) = -15
! - total moment (μB/cell) = 0.000



No. 11
! Mg3TlGa, relaxed, DFT GGA-PBE; values from VASP
&SYSTEM
  ibrav = 0, nat = 5, ntyp = 3
/
ATOMIC_SPECIES
Mg 24.30 Mg.upf
Tl 204.38 Tl.upf
Ga 69.72 Ga.upf
ATOMIC_POSITIONS crystal
Mg 0.0000 0.0000 0.5000
Mg 0.0000 0.5000 0.0000
Mg 0.5000 0.0000 0.0000
Tl 0.0000 0.0000 0.0000
Ga 0.5000 0.5000 0.5000
CELL_PARAMETERS angstrom
5.3398 0.0000 0.0000
0.0000 5.3398 0.0000
0.0000 0.0000 5.3398
! - calculated total energy (eV for the cell shown) = -8.191
! - formation energy from the elements (meV per atom) = 397
! - total moment (μB/cell) = 0.000
! - energy above the lowest structure with this stoichiometry (meV per atom) = 434